one) Crystalline TmSc4Tl at its relaxed geometry. Source: Alexandria, functional PBE.

a b c (Å): 5.696 5.696 11.049
angles (deg): 104.14 104.14 59.96
Site moments in Bohr magnetons follow the coordinates.
Fractional coordinates of all 12 atoms:
Tm 0.500 0.000 0.500  0.03
Tm 0.000 0.500 0.000  0.03
Sc 0.250 0.424 0.749  0.09
Sc 0.167 0.670 0.496  0.05
Sc 0.833 0.330 0.504  0.05
Sc 0.424 0.250 0.249  0.09
Sc 0.576 0.750 0.751  0.09
Sc 0.330 0.833 0.004  0.05
Sc 0.670 0.167 0.996  0.05
Sc 0.750 0.576 0.251  0.09
Tl 0.080 0.920 0.250  0.00
Tl 0.920 0.080 0.750  0.00

## Properties
The symmetry is C2/c, No. 15. The density is 6.2 g cm⁻³.



two) Crystalline TmSc4Tl at its relaxed geometry. Source: Alexandria, functional PBE.

a b c (Å): 4.937 6.069 6.452
angles (deg): 61.34 67.51 66.00
Fractional coordinates of all 6 atoms:
Tm 0.000 0.500 0.500
Sc 0.653 0.005 0.689
Sc 0.347 0.995 0.311
Sc 0.696 0.446 0.162
Sc 0.304 0.554 0.838
Tl 0.000 0.000 0.000

## Properties
The symmetry is C2/m, No. 12. The density is 6.1 g cm⁻³.



Energies relative to the most stable structure, in meV per atom: one) 37; two) 0.



one) Crystalline Sc2TlV at its relaxed geometry. Source: Alexandria, functional PBE.

a b c (Å): 6.539 6.539 6.539
angles (deg): 54.07 152.10 134.67
Site moments in Bohr magnetons follow the coordinates.
Fractional coordinates of all 4 atoms:
Sc 0.000 0.243 0.243  -0.03
Sc 0.000 0.757 0.757  -0.03
Tl 0.000 0.500 0.500  -0.04
V 0.000 0.000 0.000  2.32

## Properties
The symmetry is Immm, No. 71. The density is 6.2 g cm⁻³.



two) Crystalline Sc2TlV at its relaxed geometry. Source: Alexandria, functional PBE.

a b c (Å): 4.935 4.935 4.935
angles (deg): 60.00 60.00 60.00
Site moments in Bohr magnetons follow the coordinates.
Fractional coordinates of all 4 atoms:
Sc 0.250 0.250 0.250  0.16
Sc 0.750 0.750 0.750  0.16
Tl 0.500 0.500 0.500  -0.05
V 0.000 0.000 0.000  2.47

## Properties
The symmetry is Fm-3m, No. 225. The density is 6.7 g cm⁻³.



Energies relative to the most stable structure, in meV per atom: one) 585; two) 0.



one) Crystalline Sc2TlV at its relaxed geometry. Source: Alexandria, functional PBE.

a b c (Å): 7.746 7.746 6.227
angles (deg): 51.54 51.54 90.00
Site moments in Bohr magnetons follow the coordinates.
Fractional coordinates of all 8 atoms:
Sc 0.605 0.125 0.250  -0.13
Sc 0.145 0.625 0.250  -0.13
Sc 0.375 0.395 0.750  -0.13
Sc 0.875 0.855 0.750  -0.13
Tl 0.000 0.000 0.000  -0.05
Tl 0.750 0.250 0.500  -0.05
V 0.500 0.500 0.000  2.13
V 0.250 0.750 0.500  2.13

## Properties
The symmetry is I-42d, No. 122. The density is 6.5 g cm⁻³.



two) Crystalline Sc2TlV at its relaxed geometry. Source: Alexandria, functional PBE.

a b c (Å): 3.506 3.506 6.896
angles (deg): 90.00 90.00 90.00
Site moments in Bohr magnetons follow the coordinates.
Fractional coordinates of all 4 atoms:
Sc 0.000 0.000 0.775  0.09
Sc 0.000 0.000 0.225  0.09
Tl 0.500 0.500 0.500  -0.01
V 0.500 0.500 0.000  2.02

## Properties
The symmetry is P4/mmm, No. 123. The density is 6.8 g cm⁻³.



Energies relative to the most stable structure, in meV per atom: one) 461; two) 0.



one) Crystalline ScTlV3 at its relaxed geometry. Source: Alexandria, functional PBE.

a b c (Å): 5.062 5.062 5.062
angles (deg): 90.00 90.00 90.00
Site moments in Bohr magnetons follow the coordinates.
Fractional coordinates of all 5 atoms:
Sc 0.500 0.500 0.500  0.32
Tl 0.000 0.000 0.000  0.04
V 0.000 0.500 0.000  2.46
V 0.000 0.000 0.500  2.46
V 0.500 0.000 0.000  2.46

## Properties
The symmetry is Pm-3m, No. 221. The density is 5.1 g cm⁻³.



two) Crystalline ScTlV3 at its relaxed geometry. Source: Alexandria, functional PBE.

a b c (Å): 4.567 4.567 4.567
angles (deg): 90.00 90.00 90.00
Site moments in Bohr magnetons follow the coordinates.
Fractional coordinates of all 5 atoms:
Sc 0.000 0.000 0.000  0.16
Tl 0.500 0.500 0.500  -0.02
V 0.000 0.500 0.000  0.71
V 0.000 0.000 0.500  0.71
V 0.500 0.000 0.000  0.71

## Properties
The symmetry is Pm-3m, No. 221. The density is 7.0 g cm⁻³.



Energies relative to the most stable structure, in meV per atom: one) 41; two) 0.



one) Crystalline ScTl2W at its relaxed geometry. Source: Alexandria, functional PBE.

a b c (Å): 3.117 3.117 9.580
angles (deg): 90.00 90.00 104.49
Fractional coordinates of all 4 atoms:
Sc 0.500 0.500 0.723
Tl 0.000 0.000 0.989
Tl 0.500 0.500 0.273
W 0.000 0.000 0.515

## Properties
The symmetry is Cmm2, No. 35. The density is 11.7 g cm⁻³.



two) Crystalline ScTl2W at its relaxed geometry. Source: Alexandria, functional PBE.

a b c (Å): 3.094 3.094 9.547
angles (deg): 90.00 90.00 90.00
Fractional coordinates of all 4 atoms:
Sc 0.500 0.500 0.716
Tl 0.000 0.000 0.987
Tl 0.500 0.500 0.281
W 0.000 0.000 0.516

## Properties
The symmetry is P4mm, No. 99. The density is 11.6 g cm⁻³.



three) Crystalline ScTl2W at its relaxed geometry. Source: Alexandria, functional PBE.

a b c (Å): 6.770 6.770 4.969
angles (deg): 68.48 68.48 26.16
Fractional coordinates of all 4 atoms:
Sc 0.197 0.197 0.303
Tl 0.007 0.007 0.993
Tl 0.791 0.791 0.709
W 0.505 0.505 0.495

## Properties
The symmetry is Imm2, No. 44. The density is 11.4 g cm⁻³.



Energies relative to the most stable structure, in meV per atom: one) 0; two) 11; three) 42.



one) Crystalline ScTl2W at its relaxed geometry. Source: Alexandria, functional PBE.

a b c (Å): 10.108 10.108 10.108
angles (deg): 17.93 17.93 17.93
Fractional coordinates of all 4 atoms:
Sc 0.750 0.750 0.750
Tl 0.997 0.997 0.997
Tl 0.503 0.503 0.503
W 0.250 0.250 0.250

## Properties
The symmetry is R-3m, No. 166. The density is 12.4 g cm⁻³.



two) Crystalline ScTl2W at its relaxed geometry. Source: Alexandria, functional PBE.

a b c (Å): 5.222 5.222 5.563
angles (deg): 80.81 80.81 34.55
Fractional coordinates of all 4 atoms:
Sc 0.250 0.250 0.250
Tl 0.004 0.004 0.990
Tl 0.496 0.496 0.510
W 0.750 0.750 0.750

## Properties
The symmetry is C2/m, No. 12. The density is 12.5 g cm⁻³.



three) Crystalline ScTl2W at its relaxed geometry. Source: Alexandria, functional PBE.

a b c (Å): 4.572 3.129 6.355
angles (deg): 71.08 90.00 90.00
Fractional coordinates of all 4 atoms:
Sc 0.500 0.774 0.744
Tl 0.000 0.054 0.986
Tl 0.500 0.194 0.271
W 0.000 0.479 0.499

## Properties
The symmetry is Pm, No. 6. The density is 12.3 g cm⁻³.



Energies relative to the most stable structure, in meV per atom: one) 92; two) 0; three) 111.



one) Crystalline ScTl2W at its relaxed geometry. Source: Alexandria, functional PBE.

a b c (Å): 3.746 3.745 6.169
angles (deg): 90.00 90.00 90.00
Fractional coordinates of all 4 atoms:
Sc 0.500 0.500 0.723
Tl 0.000 0.000 0.997
Tl 0.500 0.500 0.264
W 0.000 0.000 0.516

## Properties
The symmetry is P4mm, No. 99. The density is 12.2 g cm⁻³.



two) Crystalline ScTl2W at its relaxed geometry. Source: Alexandria, functional PBE.

a b c (Å): 5.318 5.318 5.318
angles (deg): 131.53 131.53 70.97
Fractional coordinates of all 4 atoms:
Sc 0.750 0.250 0.500
Tl 0.000 0.000 0.000
Tl 0.500 0.500 0.000
W 0.250 0.750 0.500

## Properties
The symmetry is I4/mmm, No. 139. The density is 12.8 g cm⁻³.



three) Crystalline ScTl2W at its relaxed geometry. Source: Alexandria, functional PBE.

a b c (Å): 3.116 3.116 8.631
angles (deg): 90.00 90.00 90.00
Site moments in Bohr magnetons follow the coordinates.
Fractional coordinates of all 4 atoms:
Sc 0.500 0.500 0.750  0.49
Tl 0.000 0.000 0.010  0.00
Tl 0.000 0.000 0.490  0.00
W 0.500 0.500 0.250  -0.33

## Properties
The symmetry is P4/mmm, No. 123. The density is 12.6 g cm⁻³.



Energies relative to the most stable structure, in meV per atom: one) 55; two) 0; three) 92.



one) Crystalline ScTl2W at its relaxed geometry. Source: Alexandria, functional PBE.

a b c (Å): 4.381 4.246 4.455
angles (deg): 90.00 90.00 90.00
Fractional coordinates of all 4 atoms:
Sc 0.000 0.500 0.500
Tl 0.000 0.000 0.000
Tl 0.500 0.500 0.000
W 0.500 0.000 0.500

## Properties
The symmetry is Pmmm, No. 47. The density is 12.8 g cm⁻³.



two) Crystalline ScTl2W at its relaxed geometry. Source: Alexandria, functional PBE.

a b c (Å): 5.583 5.583 5.583
angles (deg): 135.55 135.55 64.67
Site moments in Bohr magnetons follow the coordinates.
Fractional coordinates of all 4 atoms:
Sc 0.750 0.250 0.500  0.07
Tl 0.000 0.000 0.000  0.00
Tl 0.250 0.750 0.500  -0.01
W 0.500 0.500 0.000  0.57

## Properties
The symmetry is I-4m2, No. 119. The density is 12.6 g cm⁻³.



Energies relative to the most stable structure, in meV per atom: one) 0; two) 7.



one) Crystalline ScTl2W at its relaxed geometry. Source: Alexandria, functional PBE.

a b c (Å): 4.890 4.890 4.890
angles (deg): 60.00 60.00 60.00
Fractional coordinates of all 4 atoms:
Sc 0.000 0.000 0.000
Tl 0.250 0.250 0.250
Tl 0.750 0.750 0.750
W 0.500 0.500 0.500

## Properties
The symmetry is Fm-3m, No. 225. The density is 12.8 g cm⁻³.



two) Crystalline ScTl2W at its relaxed geometry. Source: Alexandria, functional PBE.

a b c (Å): 4.258 4.258 10.792
angles (deg): 78.62 78.62 90.00
Fractional coordinates of all 8 atoms:
Sc 0.500 0.500 0.000
Sc 0.250 0.750 0.500
Tl 0.639 0.125 0.250
Tl 0.111 0.625 0.250
Tl 0.375 0.361 0.750
Tl 0.875 0.889 0.750
W 0.000 0.000 0.000
W 0.750 0.250 0.500

## Properties
The symmetry is I-42d, No. 122. The density is 11.3 g cm⁻³.



three) Crystalline ScTl2W at its relaxed geometry. Source: Alexandria, functional PBE.

a b c (Å): 5.040 3.080 5.584
angles (deg): 87.77 90.00 90.00
Fractional coordinates of all 4 atoms:
Sc 0.500 0.750 0.750
Tl 0.000 0.036 0.005
Tl 0.000 0.464 0.495
W 0.500 0.250 0.250

## Properties
The symmetry is P2/m, No. 10. The density is 12.2 g cm⁻³.



four) Crystalline ScTl2W at its relaxed geometry. Source: Alexandria, functional PBE.

a b c (Å): 3.051 3.051 9.645
angles (deg): 90.00 90.00 107.98
Fractional coordinates of all 4 atoms:
Sc 0.500 0.500 0.750
Tl 0.000 0.000 0.009
Tl 0.000 0.000 0.491
W 0.500 0.500 0.250

## Properties
The symmetry is Cmmm, No. 65. The density is 12.4 g cm⁻³.



Energies relative to the most stable structure, in meV per atom: one) 66; two) 317; three) 0; four) 39.



one) Crystalline Sc2TlW at its relaxed geometry. Source: Alexandria, functional PBE.

a b c (Å): 4.992 4.992 5.859
angles (deg): 83.08 83.08 35.19
Fractional coordinates of all 4 atoms:
Sc 0.998 0.998 0.015
Sc 0.502 0.502 0.485
Tl 0.750 0.750 0.750
W 0.250 0.250 0.250

## Properties
The symmetry is C2/m, No. 12. The density is 9.5 g cm⁻³.



two) Crystalline Sc2TlW at its relaxed geometry. Source: Alexandria, functional PBE.

a b c (Å): 3.050 3.050 9.271
angles (deg): 90.00 90.00 103.01
Fractional coordinates of all 4 atoms:
Sc 0.000 0.000 0.975
Sc 0.000 0.000 0.525
Tl 0.500 0.500 0.250
W 0.500 0.500 0.750

## Properties
The symmetry is Cmmm, No. 65. The density is 9.5 g cm⁻³.



three) Crystalline Sc2TlW at its relaxed geometry. Source: Alexandria, functional PBE.

a b c (Å): 5.451 5.451 5.451
angles (deg): 134.42 134.43 66.42
Fractional coordinates of all 4 atoms:
Sc 0.000 0.000 0.000
Sc 0.750 0.250 0.500
Tl 0.500 0.500 0.000
W 0.250 0.750 0.500

## Properties
The symmetry is I-4m2, No. 119. The density is 9.8 g cm⁻³.



four) Crystalline Sc2TlW at its relaxed geometry. Source: Alexandria, functional PBE.

a b c (Å): 4.853 4.853 4.853
angles (deg): 60.00 60.00 60.00
Fractional coordinates of all 4 atoms:
Sc 0.250 0.250 0.250
Sc 0.750 0.750 0.750
Tl 0.500 0.500 0.500
W 0.000 0.000 0.000

## Properties
The symmetry is Fm-3m, No. 225. The density is 9.8 g cm⁻³.



Energies relative to the most stable structure, in meV per atom: one) 237; two) 0; three) 130; four) 97.



one) Crystalline Sc2TlW at its relaxed geometry. Source: Alexandria, functional PBE.

a b c (Å): 3.004 3.004 9.356
angles (deg): 90.00 90.00 90.00
Site moments in Bohr magnetons follow the coordinates.
Fractional coordinates of all 4 atoms:
Sc 0.000 0.000 0.978  -0.01
Sc 0.500 0.500 0.260  0.23
Tl 0.000 0.000 0.511  0.00
W 0.500 0.500 0.750  0.00

## Properties
The symmetry is P4mm, No. 99. The density is 9.4 g cm⁻³.



two) Crystalline Sc2TlW at its relaxed geometry. Source: Alexandria, functional PBE.

a b c (Å): 5.093 3.006 5.369
angles (deg): 90.02 90.00 90.00
Fractional coordinates of all 4 atoms:
Sc 0.000 0.125 0.940
Sc 0.500 0.125 0.292
Tl 0.000 0.625 0.461
W 0.500 0.625 0.806

## Properties
The symmetry is Pmm2, No. 25. The density is 9.7 g cm⁻³.



Energies relative to the most stable structure, in meV per atom: one) 180; two) 0.